VASP calculation (PBE-GGA) on an optimized crystal structure of NdThTcAg.

Its formation energy is -0.03 eV per atom. The calculation puts the density of states at the Fermi level at 2.1 states/eV/f.u. For the size of the total moment, the calculation gives 0.000 Bohr magnetons per cell. As for the total energy: -6.379 eV/atom.

Unit cell a=5.146 b=5.146 c=5.146 alpha=60.00 beta=60.00 gamma=60.00
Fractional coordinates of all 4 atoms:
Tc (0.750, 0.750, 0.750)
Th (0.000, 0.000, 0.000)
Nd (0.500, 0.500, 0.500)
Ag (0.250, 0.250, 0.250)